1.
First-principles (PBE) data for a relaxed structure of TbSnO4, as listed in the Alexandria database.

Computed properties:
D(E_F) (states/eV/atom): 0.27
Space-group type: I4_1/a, No. 88
M_tot (Bohr magnetons per cell): 2.0
Formation energy (no corrections) (eV per atom): -2.140
V (Å³/f.u.): 79
Theoretical density (g/cm3): 7.176

Unit cell a=6.557 b=6.557 c=6.557 alpha=130.77 beta=130.77 gamma=72.18
Element x y z (fractional)
Tb  0.375  0.125  0.250
Tb  0.625  0.875  0.750
Sn  0.125  0.375  0.750
Sn  0.875  0.625  0.250
O  0.023  0.218  0.301
O  0.221  0.523  0.305
O  0.282  0.084  0.805
O  0.416  0.721  0.199
O  0.584  0.279  0.801
O  0.718  0.916  0.195
O  0.779  0.477  0.695
O  0.977  0.782  0.699

***

2.
First-principles (PBE) data for a relaxed structure of Tb2SnO, as listed in the Alexandria database.

Computed properties:
D(E_F) (states/eV/atom): 0.35
Space-group type: P4/nmm, No. 129
M_tot (Bohr magnetons per cell): 0.0
Formation energy (no corrections) (eV per atom): -1.887
V (Å³/f.u.): 90
Polymorph energy (0 for the lowest one) (eV/f.u.): 0.00
Theoretical density (g/cm3): 8.308

Unit cell a=4.522 b=4.522 c=8.847 alpha=90.00 beta=90.00 gamma=90.00
Element x y z (fractional)
Tb  0.250  0.250  0.166
Tb  0.250  0.750  0.500
Tb  0.750  0.250  0.500
Tb  0.750  0.750  0.834
Sn  0.250  0.250  0.800
Sn  0.750  0.750  0.200
O  0.250  0.250  0.426
O  0.750  0.750  0.574

***

3.
First-principles (PBE) data for a relaxed structure of Tb4Sn2O, as listed in the Alexandria database.

Computed properties:
D(E_F) (states/eV/atom): 0.75
Space-group type: P2_1/m, No. 11
M_tot (Bohr magnetons per cell): 0.0
Formation energy (no corrections) (eV per atom): -1.315
V (Å³/f.u.): 185
Polymorph energy (0 for the lowest one) (eV/f.u.): 0.00
Theoretical density (g/cm3): 7.981

Unit cell a=6.417 b=6.706 c=9.167 alpha=90.00 beta=110.30 gamma=90.00
Element x y z (fractional)
Tb  0.036  0.001  0.292
Tb  0.036  0.499  0.292
Tb  0.353  0.250  0.049
Tb  0.429  0.250  0.657
Tb  0.571  0.750  0.343
Tb  0.647  0.750  0.951
Tb  0.964  0.501  0.708
Tb  0.964  0.999  0.708
Sn  0.194  0.750  0.028
Sn  0.334  0.750  0.597
Sn  0.666  0.250  0.403
Sn  0.806  0.250  0.972
O  0.199  0.250  0.789
O  0.801  0.750  0.211

***

4.
First-principles (PBE) data for a relaxed structure of Tb4TlSnO, as listed in the Alexandria database.

Computed properties:
D(E_F) (states/eV/atom): 0.63
Space-group type: Cmcm, No. 63
M_tot (Bohr magnetons per cell): 0.0
Formation energy (no corrections) (eV per atom): -1.182
V (Å³/f.u.): 180
Theoretical density (g/cm3): 9.017

Unit cell a=9.093 b=9.093 c=6.498 alpha=90.00 beta=90.00 gamma=138.07
Element x y z (fractional)
Tb  0.000  0.500  0.000
Tb  0.000  0.500  0.500
Tb  0.069  0.931  0.750
Tb  0.418  0.582  0.750
Tb  0.500  0.000  0.000
Tb  0.500  0.000  0.500
Tb  0.582  0.418  0.250
Tb  0.931  0.069  0.250
Tl  0.113  0.887  0.250
Tl  0.887  0.113  0.750
Sn  0.390  0.610  0.250
Sn  0.610  0.390  0.750
O  0.273  0.727  0.750
O  0.727  0.273  0.250